(1)
Hf3GaBi: relaxed, GGA-PBE.

POSCAR file:
```
Hf3GaBi
1.0
-3.037 3.339 -2.855
-3.826 -3.716 -0.275
-2.159 1.889 4.505
Ga Bi Hf
1 1 3
Cartesian
-4.511 0.756 0.687
0.000 0.000 0.000
-1.519 1.669 -1.428
-1.913 -1.858 -0.138
-1.079 0.944 2.253
```

Values from the calculation:
Calculated formation energy   1.36 eV/atom
Excess energy over the best structure of this formula in the dataset   1514.6 meV/atom
Electronic total energy   -5.989 eV per atom
Space group   Pm-3m

***

(2)
Hf2GaBi2: relaxed, GGA-PBE.

POSCAR file:
```
Hf2GaBi2
1.0
-2.481 2.263 -7.468
1.492 -7.554 -2.784
-3.577 -1.029 0.877
Bi Ga Hf
4 2 4
Cartesian
0.406 -5.592 -4.909
-1.112 -3.055 -8.125
0.122 -2.236 -2.127
-1.396 0.301 -5.343
-0.495 -2.646 -5.126
0.000 0.000 0.000
-3.392 -1.322 -7.051
-1.175 -4.999 -2.325
-2.498 -0.696 -2.669
-2.069 -5.625 -6.706
```

Values from the calculation:
Calculated formation energy   0.16 eV/atom
Excess energy over the best structure of this formula in the dataset   239.6 meV/atom
Electronic total energy   -5.975 eV per atom
Space group   P4/mbm

***

(3)
HfGaBi3: relaxed, GGA-PBE.

POSCAR file:
```
HfGaBi3
1.0
-4.581 2.812 0.277
-0.759 -0.716 -5.280
-2.722 -4.533 1.006
Ga Hf Bi
1 1 3
Cartesian
0.000 0.000 0.000
-4.031 -1.218 -1.999
-0.379 -0.358 -2.640
-1.361 -2.266 0.503
-2.290 1.406 0.138
```

Values from the calculation:
Calculated formation energy   0.84 eV/atom
Excess energy over the best structure of this formula in the dataset   499.2 meV/atom
Electronic total energy   -4.083 eV per atom
Space group   Pm-3m

***

(4)
Hf3GaBi: relaxed, GGA-PBE.

POSCAR file:
```
Hf3GaBi
1.0
4.999 0.000 0.000
0.000 4.999 0.000
0.000 0.000 4.999
Bi Ga Hf
1 1 3
Cartesian
2.499 2.499 2.499
0.000 0.000 0.000
0.000 0.000 2.499
0.000 2.499 0.000
2.499 0.000 0.000
```

Values from the calculation:
Calculated formation energy   0.39 eV/atom
Excess energy over the best structure of this formula in the dataset   544.3 meV/atom
Electronic total energy   -6.960 eV per atom
Space group   Pm-3m

***

(5)
Hf6GaBi: relaxed, GGA-PBE.

POSCAR file:
```
Hf6GaBi
1.0
-3.881 4.202 -2.824
0.777 -5.888 -2.330
-2.412 -0.831 5.775
Hf Bi Ga
6 1 1
Cartesian
-5.150 0.422 0.308
-3.034 -4.160 0.533
-0.366 -2.938 0.313
-2.482 1.643 0.089
-2.580 -1.046 2.960
-2.936 -1.470 -2.339
0.000 0.000 0.000
-2.758 -1.258 0.311
```

Values from the calculation:
Calculated formation energy   0.26 eV/atom
Electronic total energy   -8.072 eV per atom
Space group   C2/m

***

(6)
HfGa2BiIr: relaxed, GGA-PBE.

POSCAR file:
```
HfGa2BiIr
1.0
-0.837 -5.107 -0.102
4.074 -0.615 -2.637
2.740 -0.536 4.358
Hf Ir Bi Ga
1 1 1 2
Cartesian
0.000 0.000 0.000
2.037 -0.308 -1.318
2.989 -3.129 0.810
1.370 -0.268 2.179
-0.418 -2.553 -0.051
```

Values from the calculation:
Calculated formation energy   0.66 eV/atom
Electronic total energy   -5.089 eV per atom
Space group   P4/mmm

***

(7)
Li2HfGaBi: relaxed, GGA-PBE.

POSCAR file:
```
Li2HfGaBi
1.0
-3.312 -1.762 -2.655
0.307 -4.508 2.609
-3.175 1.500 2.965
Bi Li Hf Ga
1 2 1 1
Cartesian
-3.090 -2.385 1.460
-1.588 0.750 1.483
-1.656 -0.881 -1.328
0.153 -2.254 1.305
0.000 0.000 0.000
```

Values from the calculation:
Calculated formation energy   0.06 eV/atom
Electronic total energy   -4.077 eV per atom
Space group   P4/mmm

***

(8)
HfGa2BiMo: relaxed, GGA-PBE.

POSCAR file:
```
HfGa2BiMo
1.0
5.193 0.000 0.000
0.000 5.242 0.000
0.000 0.000 5.193
Bi Ga Hf Mo
1 2 1 1
Cartesian
0.000 0.000 0.000
2.596 0.000 0.000
0.000 0.000 2.596
2.596 2.621 2.596
0.000 2.621 0.000
```

Values from the calculation:
Calculated formation energy   1.60 eV/atom
Electronic total energy   -4.541 eV per atom
Space group   P4/mmm

***

(9)
HfGaBiO6: relaxed, GGA-PBE.

POSCAR file:
```
HfGaBiO6
1.0
-2.037 -3.187 2.644
4.726 -1.728 1.557
-2.436 3.804 2.708
Hf Bi Ga O
1 1 1 6
Cartesian
1.320 -1.478 3.263
-0.049 1.960 2.325
-1.018 -1.593 1.322
0.224 -0.184 2.066
2.418 -2.853 4.362
0.021 -2.889 2.472
0.071 -0.959 4.837
2.668 -1.991 1.770
2.519 0.012 4.070
```

Values from the calculation:
Electronic total energy   -7.066 eV per atom
Space group   P312
ΔE_f (raw)   -1.8867 eV/atom

***

(10)
HfGaBiO5: relaxed, GGA-PBE.

POSCAR file:
```
HfGaBiO5
1.0
-1.978 -5.403 0.815
5.632 -0.022 1.430
-3.254 3.969 5.543
O Bi Hf Ga
10 2 2 2
Cartesian
-0.337 0.850 3.930
-2.068 -2.134 2.847
-0.117 0.224 6.692
0.737 -2.306 3.858
-0.348 -4.448 1.810
2.468 0.678 4.940
-3.777 -1.973 5.024
0.748 2.992 5.978
4.177 0.517 2.764
0.518 -1.680 1.096
2.329 -0.790 2.614
-1.929 -0.666 5.173
-1.627 1.984 2.771
0.000 0.000 0.000
0.733 1.216 5.388
-0.332 -2.672 2.399
```

Values from the calculation:
Electronic total energy   -7.457 eV per atom
Space group   C2/c
ΔE_f (raw)   -2.2504 eV/atom

***

(11)
HfGaBiPt2: relaxed, GGA-PBE.

POSCAR file:
```
HfGaBiPt2
1.0
-4.700 0.001 1.645
0.348 -5.034 0.997
1.611 1.022 4.600
Pt Ga Bi Hf
2 1 1 1
Cartesian
-2.350 0.000 0.823
0.805 0.511 2.300
0.174 -2.517 0.499
-1.371 -2.006 3.621
0.000 0.000 0.000
```

Values from the calculation:
Calculated formation energy   0.41 eV/atom
Electronic total energy   -5.379 eV per atom
Space group   P4/mmm

***

(12)
RbHfGaBi2: relaxed, GGA-PBE.

POSCAR file:
```
RbHfGaBi2
1.0
5.951 0.000 0.000
0.000 5.326 0.000
0.000 0.000 5.951
Bi Hf Ga Rb
2 1 1 1
Cartesian
0.000 0.000 2.975
2.975 0.000 0.000
2.975 2.663 2.975
0.000 2.663 0.000
0.000 0.000 0.000
```

Values from the calculation:
Calculated formation energy   1.58 eV/atom
Electronic total energy   -2.765 eV per atom
Space group   P4/mmm